VASP calculation (PBE+U) on MoAs2PbO8 after structural relaxation.

Cell lengths 8.188, 8.188, 8.188 Å; angles 35.77, 35.77, 35.77 degrees
Fractional coordinates of all 12 atoms:
Mo: 0.000 0.000 0.000
As: 0.256 0.256 0.256
As: 0.744 0.744 0.744
Pb: 0.500 0.500 0.500
O: 0.043 0.733 0.387
O: 0.182 0.182 0.182
O: 0.267 0.613 0.957
O: 0.387 0.043 0.733
O: 0.613 0.957 0.267
O: 0.733 0.387 0.043
O: 0.818 0.818 0.818
O: 0.957 0.267 0.613

Properties
- Density: 5.75 g/cm3
- V: 13.98 A^3/atom
- E_tot: -6.30 eV/atom
- DOS(E_F): 0.0 states/eV per cell